1.
A geometry-optimized Ac6Ni2Pt structure. Source: the Alexandria database, functional PBE-GGA.

Geometry as extended XYZ:
```
9
Lattice="-5.2938 3.1122 3.2755 -4.1459 -0.5934 -6.1368 -0.0617 -5.4355 5.0648" Properties=species:S:1:pos:R:3 pbc="T T T"
Ac -5.3218 2.0950 0.3251
Ac -2.8209 -1.2413 0.4920
Ac -6.6805 -1.6754 1.7116
Ac -1.4266 -2.7670 4.1951
Ac -8.0748 -0.1497 -1.9915
Ac -4.1796 -5.0117 1.8785
Ni -5.4314 -0.6514 -0.7652
Ni -4.0700 -2.2654 2.9687
Pt -2.6469 1.5561 1.6377
```

Properties
E_form, eV per atom: -0.3631
Raw total energy, eV/atom: -5.06

2.
A geometry-optimized Ac6Ni2Pt3 structure. Source: the Alexandria database, functional PBE-GGA.

Geometry as extended XYZ:
```
11
Lattice="-2.4221 -2.4333 2.6736 1.6770 -3.5951 1.7886 6.5274 9.3474 17.9617" Properties=species:S:1:pos:R:3 pbc="T T T"
Pt 0.0000 0.0000 0.0000
Pt 0.9219 -0.0479 4.3329
Pt 4.8603 3.3669 18.0910
Ac 2.5488 2.6789 8.2884
Ac 0.9896 -3.1207 8.6800
Ac 4.7927 6.4398 13.7439
Ac 3.2334 0.6401 14.1355
Ac 5.6990 6.3658 18.0389
Ac 0.0832 -3.0467 4.3851
Ni 3.9562 3.4447 13.8015
Ni 1.8260 -0.1256 8.6224
```

Properties
E_form, eV per atom: -0.7190
Raw total energy, eV/atom: -5.66

3.
A geometry-optimized Ac8Ni2Pt3 structure. Source: the Alexandria database, functional PBE-GGA.

Geometry as extended XYZ:
```
13
Lattice="-1.3666 -5.4147 4.9592 -3.5850 -6.6928 -4.3667 4.9191 -6.8917 -2.2404" Properties=species:S:1:pos:R:3 pbc="T T T"
Ac -1.6804 -9.7598 -3.5375
Ac 2.7155 -9.8627 -2.4384
Ac 1.6480 -9.2394 1.8896
Ac -0.2199 -12.7003 -0.3089
Ac -0.8716 -5.7533 2.9479
Ac 0.1874 -6.2990 -1.3390
Ac -2.7479 -9.1366 0.7906
Ac 0.8392 -13.2459 -4.5957
Pt -1.4368 -6.7431 -3.8296
Pt -0.6833 -2.7073 2.4796
Pt 2.7710 -6.8415 -2.7775
Ni 0.9868 -10.2053 -4.9015
Ni -1.0192 -8.7939 3.2536
```

Properties
E_form, eV per atom: -0.6301
Raw total energy, eV/atom: -5.44